BaSiTc2 meta-GGA SCAN single point on PBEsol structure; theoretical density = 7.83 g/cm3; magnetic moment = 0.00 μB per formula unit; symmetry = P4/mmm (123); calculated total energy = -29.554 eV/atom; raw formation energy = 1.5 eV/f.u.
1.0
3.170 0.000 0.000
0.000 3.170 0.000
0.000 0.000 7.628
Ba Si Tc
1 1 2
direct
0.000 0.000 0.000 Ba
0.000 0.000 0.500 Si
0.500 0.500 0.345 Tc
0.500 0.500 0.655 Tc